Record 1
Computed, not measured: an optimized crystal structure of Pa2InAu6 at the PBE level of DFT.

Unit cell a=5.757 b=5.757 c=5.757 alpha=93.13 beta=93.13 gamma=93.13
Sites, in units of the cell vectors:
Pa  0.159  0.159  0.159
Pa  0.841  0.841  0.841
In  0.500  0.500  0.500
Au  0.000  0.334  0.666
Au  0.000  0.666  0.334
Au  0.334  0.000  0.666
Au  0.334  0.666  0.000
Au  0.666  0.000  0.334
Au  0.666  0.334  0.000

energy relative to the elements	-295	meV/atom


Record 2
Computed, not measured: an optimized crystal structure of PaInAu at the PBE level of DFT.

Unit cell a=4.944 b=4.944 c=3.208 alpha=90.00 beta=90.00 gamma=120.00
Sites, in units of the cell vectors:
Pa  0.000  0.000  0.000
In  0.333  0.667  0.500
Au  0.667  0.333  0.500

energy relative to the elements	-256	meV/atom


Record 3
Computed, not measured: an optimized crystal structure of PaInPdAu at the PBE level of DFT.

Unit cell a=4.919 b=4.919 c=4.919 alpha=60.00 beta=60.00 gamma=60.00
Sites, in units of the cell vectors:
Pa  0.000  0.000  0.000
In  0.500  0.500  0.500
Pd  0.750  0.750  0.750
Au  0.250  0.250  0.250

energy relative to the elements	-473	meV/atom


Record 4
Computed, not measured: an optimized crystal structure of PuPaInAu at the PBE level of DFT.

Unit cell a=5.229 b=5.229 c=5.229 alpha=60.00 beta=60.00 gamma=60.00
Sites, in units of the cell vectors:
Pu  0.000  0.000  0.000
Pa  0.500  0.500  0.500
In  0.750  0.750  0.750
Au  0.250  0.250  0.250

energy relative to the elements	-48	meV/atom